Record 1
{"formula": "HgGeAs2O8", "functional": "GGA-PBE", "state": "optimized geometry", "cell": [[4.8903, -2.7761, 0.0000], [4.8903, 2.7761, 0.0000], [-1.6666, 0.0000, 5.8345]], "species": ["Hg", "Ge", "As", "As", "O", "O", "O", "O", "O", "O", "O", "O"], "fractional_positions": [[0.0000, 0.0000, 0.0000], [0.5000, 0.5000, 0.5000], [0.1835, 0.1835, 0.5887], [0.8165, 0.8165, 0.4113], [0.1364, 0.6493, 0.3032], [0.1623, 0.1623, 0.3016], [0.3507, 0.8636, 0.6968], [0.3688, 0.3688, 0.6960], [0.6312, 0.6312, 0.3040], [0.6493, 0.1364, 0.3032], [0.8377, 0.8377, 0.6984], [0.8636, 0.3507, 0.6968]], "spacegroup": "No. 12", "e_tot_ev_per_cell": -65.59, "formation_energy_uncorrected_mev_per_atom": -976, "vol_a3_per_atom": 13.20}

=====

Record 2
{"formula": "Tc3AuSe", "functional": "GGA-PBE", "state": "optimized geometry", "cell": [[4.5259, 0.0000, 0.0000], [0.0000, 4.5259, 0.0000], [0.0000, 0.0000, 4.5259]], "species": ["Tc", "Tc", "Tc", "Au", "Se"], "fractional_positions": [[0.0000, 0.0000, 0.5000], [0.0000, 0.5000, 0.0000], [0.5000, 0.0000, 0.0000], [0.5000, 0.5000, 0.5000], [0.0000, 0.0000, 0.0000]], "spacegroup": "No. 221", "n_ef_per_ev_cell": 5.5, "e_tot_ev_per_cell": -32.29, "formation_energy_uncorrected_mev_per_atom": 1114, "polymorph_energy_mev_per_atom": 0, "vol_a3_per_atom": 18.54}

=====

Record 3
{"formula": "CdHgOF2", "functional": "GGA-PBE", "state": "optimized geometry", "cell": [[4.3124, 0.0000, 0.0000], [0.0000, 4.3124, 0.0000], [0.0000, 0.0000, 4.4345]], "species": ["Cd", "Hg", "O", "F", "F"], "fractional_positions": [[0.0000, 0.0000, 0.0000], [0.5000, 0.5000, 0.5000], [0.0000, 0.0000, 0.5000], [0.0000, 0.5000, 0.0000], [0.5000, 0.0000, 0.0000]], "spacegroup": "No. 123", "n_ef_per_ev_cell": 2.0, "e_tot_ev_per_cell": -14.65, "formation_energy_uncorrected_mev_per_atom": -945, "polymorph_energy_mev_per_atom": 0, "vol_a3_per_atom": 16.49}

=====

Record 4
{"formula": "InCoBRu2", "functional": "GGA-PBE", "state": "optimized geometry", "cell": [[4.1448, 0.0000, 0.0000], [0.0000, 4.1448, 0.0000], [0.0000, 0.0000, 3.9010]], "species": ["In", "Co", "B", "Ru", "Ru"], "fractional_positions": [[0.0000, 0.0000, 0.0000], [0.5000, 0.5000, 0.0000], [0.5000, 0.5000, 0.5000], [0.0000, 0.5000, 0.5000], [0.5000, 0.0000, 0.5000]], "spacegroup": "No. 123", "n_ef_per_ev_cell": 6.8, "e_tot_ev_per_cell": -35.15, "vol_a3_per_atom": 13.40, "formation_energy_ev_per_atom": -0.014}

=====

Record 5
{"formula": "Ba16Sr7Ca6", "functional": "GGA-PBE", "state": "optimized geometry", "cell": [[0.0000, 9.6778, 9.6778], [9.6778, 0.0000, 9.6778], [9.6778, 9.6778, 0.0000]], "species": ["Ba", "Ba", "Ba", "Ba", "Ba", "Ba", "Ba", "Ba", "Ba", "Ba", "Ba", "Ba", "Ba", "Ba", "Ba", "Ba", "Sr", "Sr", "Sr", "Sr", "Sr", "Sr", "Sr", "Ca", "Ca", "Ca", "Ca", "Ca", "Ca"], "fractional_positions": [[0.0159, 0.6614, 0.6614], [0.1180, 0.1180, 0.1180], [0.1180, 0.1180, 0.6460], [0.1180, 0.6460, 0.1180], [0.3386, 0.3386, 0.3386], [0.3386, 0.3386, 0.9841], [0.3386, 0.9841, 0.3386], [0.3540, 0.8820, 0.8820], [0.6460, 0.1180, 0.1180], [0.6614, 0.0159, 0.6614], [0.6614, 0.6614, 0.0159], [0.6614, 0.6614, 0.6614], [0.8820, 0.3540, 0.8820], [0.8820, 0.8820, 0.3540], [0.8820, 0.8820, 0.8820], [0.9841, 0.3386, 0.3386], [0.0000, 0.0000, 0.0000], [0.0000, 0.0000, 0.5000], [0.0000, 0.5000, 0.0000], [0.0000, 0.5000, 0.5000], [0.5000, 0.0000, 0.0000], [0.5000, 0.0000, 0.5000], [0.5000, 0.5000, 0.0000], [0.2593, 0.2593, 0.7407], [0.2593, 0.7407, 0.2593], [0.2593, 0.7407, 0.7407], [0.7407, 0.2593, 0.2593], [0.7407, 0.2593, 0.7407], [0.7407, 0.7407, 0.2593]], "spacegroup": "No. 225", "n_ef_per_ev_cell": 49.5, "e_tot_ev_per_cell": -49.84, "vol_a3_per_atom": 62.51, "formation_energy_ev_per_atom": 0.162}

=====

Record 6
{"formula": "Nd8Ge3PBr4", "functional": "GGA-PBE", "state": "optimized geometry", "cell": [[4.2625, 2.4609, 7.3456], [-4.2625, 2.4609, 7.3456], [0.0000, -4.9219, 7.3456]], "species": ["Nd", "Nd", "Nd", "Nd", "Nd", "Nd", "Nd", "Nd", "Ge", "Ge", "Ge", "P", "Br", "Br", "Br", "Br"], "fractional_positions": [[0.2376, 0.2376, 0.2376], [0.2426, 0.7329, 0.7329], [0.2671, 0.2671, 0.7574], [0.2671, 0.7574, 0.2671], [0.7329, 0.2426, 0.7329], [0.7329, 0.7329, 0.2426], [0.7574, 0.2671, 0.2671], [0.7624, 0.7624, 0.7624], [0.0000, 0.0000, 0.5000], [0.0000, 0.5000, 0.0000], [0.5000, 0.0000, 0.0000], [0.5000, 0.5000, 0.5000], [0.0000, 0.0000, 0.0000], [0.0000, 0.5000, 0.5000], [0.5000, 0.0000, 0.5000], [0.5000, 0.5000, 0.0000]], "spacegroup": "No. 166", "n_ef_per_ev_cell": 7.8, "e_tot_ev_per_cell": -83.94, "formation_energy_uncorrected_mev_per_atom": -1240, "vol_a3_per_atom": 28.90}

=====

Record 7
{"formula": "BPt3I", "functional": "GGA-PBE", "state": "optimized geometry", "cell": [[4.9906, 0.0000, 0.0000], [0.0000, 4.9906, 0.0000], [0.0000, 0.0000, 4.9906]], "species": ["B", "Pt", "Pt", "Pt", "I"], "fractional_positions": [[0.0000, 0.0000, 0.0000], [0.0000, 0.5000, 0.5000], [0.5000, 0.0000, 0.5000], [0.5000, 0.5000, 0.0000], [0.5000, 0.5000, 0.5000]], "spacegroup": "No. 221", "n_ef_per_ev_cell": 0.6, "e_tot_ev_per_cell": -16.57, "formation_energy_uncorrected_mev_per_atom": 1955, "vol_a3_per_atom": 24.86}

=====

Record 8
{"formula": "Ce3Fe2C3", "functional": "GGA-PBE", "state": "optimized geometry", "cell": [[1.7049, -5.4253, 0.0000], [1.7049, 5.4253, 0.0000], [0.0000, 0.0000, 12.0964]], "species": ["Ce", "Ce", "Ce", "Ce", "Ce", "Ce", "Fe", "Fe", "Fe", "Fe", "C", "C", "C", "C", "C", "C"], "fractional_positions": [[0.0651, 0.9349, 0.6133], [0.0651, 0.9349, 0.8867], [0.3568, 0.6432, 0.7500], [0.6432, 0.3568, 0.2500], [0.9349, 0.0651, 0.1133], [0.9349, 0.0651, 0.3867], [0.2291, 0.7709, 0.0756], [0.2291, 0.7709, 0.4244], [0.7709, 0.2291, 0.5756], [0.7709, 0.2291, 0.9244], [0.3148, 0.6852, 0.2500], [0.3534, 0.6466, 0.5406], [0.3534, 0.6466, 0.9594], [0.6466, 0.3534, 0.0406], [0.6466, 0.3534, 0.4594], [0.6852, 0.3148, 0.7500]], "spacegroup": "No. 63", "n_ef_per_ev_cell": 16.4, "e_tot_ev_per_cell": -125.86, "vol_a3_per_atom": 13.99, "formation_energy_ev_per_atom": -0.066}